(1)
A plane-wave DFT calculation with GGA-PBE was carried out for an optimized crystal structure of CaNp2In9.

Summary:
- mass density (g/cm³) = 8.43
- ΔE_f (eV per atom) = -0.106
- N(E_F) (states/eV/cell) = 23.8
- E (eV per atom) = -4.483

a = 4.6620 Å, b = 4.6620 Å, c = 14.0235 Å
α = 90.00°, β = 90.00°, γ = 90.00°
Closest atoms and distances in Å follow each position.
Fractional coordinates of all 12 atoms:
In: 0.5000 0.0000 0.1689  2 Np 3.28, 8 In 3.30-3.32, 2 Ca 3.32
In: 0.0000 0.5000 0.5000  8 In 3.28-3.30, 4 Np 3.30
In: 0.5000 0.5000 0.6644  8 In 3.28-3.30, 4 Np 3.30
In: 0.5000 0.0000 0.8311  2 Np 3.28, 8 In 3.30-3.32, 2 Ca 3.32
Ca: 0.0000 0.0000 0.0000  12 In 3.30-3.32
In: 0.5000 0.5000 0.0000  4 Ca 3.30, 8 In 3.32
In: 0.0000 0.5000 0.8311  2 Np 3.28, 8 In 3.30-3.32, 2 Ca 3.32
In: 0.5000 0.0000 0.5000  8 In 3.28-3.30, 4 Np 3.30
Np: 0.0000 0.0000 0.3337  12 In 3.28-3.30
In: 0.0000 0.5000 0.1689  2 Np 3.28, 8 In 3.30-3.32, 2 Ca 3.32
In: 0.5000 0.5000 0.3356  8 In 3.28-3.30, 4 Np 3.30
Np: 0.0000 0.0000 0.6663  12 In 3.28-3.30


(2)
A plane-wave DFT calculation with GGA-PBE was carried out for an optimized crystal structure of CaNpInO6.

Summary:
- mass density (g/cm³) = 6.03
- E (eV per atom) = -7.634

a = 5.5606 Å, b = 5.5606 Å, c = 10.0301 Å
α = 90.00°, β = 90.00°, γ = 120.00°
Closest atoms and distances in Å follow each position.
Fractional coordinates of all 18 atoms:
O: 0.9776 0.3438 0.1382  1 Np 2.04, 1 In 2.20
O: 0.6338 0.9776 0.8618  1 Np 2.04, 1 In 2.20
Ca: 0.0000 0.0000 0.0000  6 O 2.41
Np: 0.3333 0.6667 0.7500  6 O 2.04
O: 0.0224 0.3662 0.6382  1 Np 2.04, 1 In 2.20
O: 0.3438 0.3662 0.8618  1 Np 2.04, 1 In 2.20
O: 0.9776 0.6338 0.3618  1 Np 2.04, 1 In 2.20
O: 0.3438 0.9776 0.6382  1 Np 2.04, 1 In 2.20
O: 0.6562 0.6338 0.1382  1 Np 2.04, 1 In 2.20
O: 0.6562 0.0224 0.3618  1 Np 2.04, 1 In 2.20
O: 0.6338 0.6562 0.6382  1 Np 2.04, 1 In 2.20
In: 0.3333 0.6667 0.2500  6 O 2.20
Np: 0.6667 0.3333 0.2500  6 O 2.04
O: 0.3662 0.3438 0.3618  1 Np 2.04, 1 In 2.20
In: 0.6667 0.3333 0.7500  6 O 2.20
O: 0.3662 0.0224 0.1382  1 Np 2.04, 1 In 2.20
O: 0.0224 0.6562 0.8618  1 Np 2.04, 1 In 2.20
Ca: 0.0000 0.0000 0.5000  6 O 2.41


(3)
A plane-wave DFT calculation with GGA-PBE was carried out for an optimized crystal structure of Ca2NpInO8.

Summary:
- mass density (g/cm³) = 5.53
- E (eV per atom) = -7.132

a = 5.2060 Å, b = 4.7275 Å, c = 6.8469 Å
α = 92.75°, β = 90.90°, γ = 90.32°
Closest atoms and distances in Å follow each position.
Fractional coordinates of all 12 atoms:
O: 0.1570 0.7770 0.2032  1 Np 1.96
O: 0.1030 0.7425 0.7298  1 In 2.10, 1 Np 2.24, 1 Ca 2.30
Np: 0.0000 0.0000 0.0000  4 O 1.96
In: 0.0000 0.0000 0.5000  4 O 2.10-2.28
O: 0.8970 0.2575 0.2702  1 In 2.10, 1 Np 2.24, 1 Ca 2.30
O: 0.5776 0.8665 0.5009  1 O 1.50
O: 0.4224 0.1335 0.4991  1 O 1.50
O: 0.6893 0.7669 0.0167  1 Np 1.96
Ca: 0.5047 0.4757 0.2483  6 O 2.30-2.49
O: 0.3107 0.2331 0.9833  1 Np 1.96
Ca: 0.4953 0.5243 0.7517  6 O 2.30-2.49
O: 0.8430 0.2230 0.7968  1 Np 1.96


(4)
A plane-wave DFT calculation with GGA-PBE was carried out for an optimized crystal structure of Ca3InO.

Summary:
- mass density (g/cm³) = 2.92
- N(E_F) (states/eV/cell) = 5.9
- E (eV per atom) = -3.986

a = 13.3706 Å, b = 9.7894 Å, c = 9.7894 Å
α = 79.81°, β = 124.87°, γ = 55.13°
Closest atoms and distances in Å follow each position.
Fractional coordinates of all 20 atoms:
In: 0.4605 0.7618 0.0454  8 Ca 3.21-3.55
O: 0.7500 0.3820 0.8820  4 Ca 2.22
Ca: 0.4772 0.0349 0.1735  4 In 3.21-3.42
Ca: 0.0411 0.2458 0.1362  2 O 2.22-2.44
Ca: 0.5666 0.6047 0.5088  2 O 2.22-2.32
Ca: 0.4334 0.3953 0.4912  2 O 2.22-2.32
Ca: 0.9589 0.7542 0.8638  2 O 2.22-2.44
Ca: 0.4589 0.6362 0.7458  2 O 2.22-2.44
O: 0.2500 0.8347 0.3347  4 Ca 2.32-2.44
Ca: 0.0228 0.6735 0.5349  4 In 3.21-3.42
Ca: 0.0666 0.9912 0.8953  2 O 2.22-2.32
In: 0.0395 0.5454 0.2618  8 Ca 3.21-3.55
O: 0.7500 0.1653 0.6653  4 Ca 2.32-2.44
Ca: 0.5228 0.9651 0.8265  4 In 3.21-3.42
In: 0.9605 0.4546 0.7382  8 Ca 3.21-3.55
O: 0.2500 0.6180 0.1180  4 Ca 2.22
Ca: 0.9334 0.0088 0.1047  2 O 2.22-2.32
Ca: 0.9772 0.3265 0.4651  4 In 3.21-3.42
Ca: 0.5411 0.3638 0.2542  2 O 2.22-2.44
In: 0.5395 0.2382 0.9546  8 Ca 3.21-3.55